1.
Below is an optimized crystal structure of FePdAu, with properties calculated at the PBE-GGA level.

Structure (POSCAR):
```
FePdAu
1.0
2.8380 0.0000 0.0000
0.0000 2.8380 0.0000
-1.4190 -1.4190 5.6998
Au Pd Fe
1 1 1
direct
0.9928 0.9928 0.9857
0.6787 0.6787 0.3573
0.3285 0.3285 0.6570
```

magnetic moment: 3.4 μB/cell
offset from the most stable computed form: 0.00 eV per formula unit
ΔH_f (0 K): -0.018 eV/atom
V: 45.9 Å³ per cell



2.
Below is an optimized crystal structure of SrCr2Sb, with properties calculated at the PBE-GGA level.

Structure (POSCAR):
```
SrCr2Sb
1.0
-3.0981 2.1781 4.2365
-2.6987 -0.2211 -5.6327
-1.8925 -2.6951 0.0780
Sb Cr Sr
1 2 1
direct
0.0000 0.5000 0.5000
0.5000 0.0000 0.5000
0.0000 0.0000 0.0000
0.5000 0.5000 0.0000
```

magnetic moment: 8.4 μB/cell
uncorrected formation energy: 63.58 kJ/mol of atoms
V: 99.8 Å³ per cell



3.
Below is an optimized crystal structure of USi3Pd3, with properties calculated at the PBE-GGA level.

Structure (POSCAR):
```
USi3Pd3
1.0
-2.7037 -2.6797 0.8076
-3.7910 1.6311 -7.2796
5.9437 -5.8775 0.3964
U Si Pd
2 6 6
direct
0.2500 0.6667 0.3333
0.7500 0.3333 0.6667
0.7500 0.6139 0.5565
0.7500 0.4434 0.0574
0.2500 0.3861 0.4435
0.2500 0.0574 0.6140
0.7500 0.9426 0.3860
0.2500 0.5566 0.9426
0.7500 0.7618 0.0431
0.2500 0.7187 0.7617
0.7500 0.2813 0.2383
0.2500 0.0431 0.2813
0.7500 0.9569 0.7187
0.2500 0.2382 0.9569
```

magnetic moment: 2.5 μB/cell
uncorrected formation energy: -32.98 kJ/mol of atoms
offset from the most stable computed form: 0.00 eV per formula unit
V: 236.0 Å³ per cell